The following is a PBE calculation of a geometry-optimized SnSbPb2 structure, from the Alexandria database.

Computed properties:
* formation energy from raw total energies: 194.7 meV per atom
* energy above the most stable polymorph in this dataset: 128 meV/atom
* energy: -3.69 eV/atom

abc: 8.558 8.558 8.558
angles: 132.17 132.17 69.96
Fractional coordinates of all 8 atoms:
Sn: 0.000 0.000 0.000
Sn: 0.750 0.250 0.500
Sb: 0.250 0.750 0.500
Sb: 0.500 0.500 0.000
Pb: 0.122 0.625 0.997
Pb: 0.375 0.372 0.497
Pb: 0.628 0.125 0.003
Pb: 0.875 0.878 0.503


The following is a PBE calculation of a geometry-optimized SnSbPb2 structure, from the Alexandria database.

Computed properties:
* formation energy from raw total energies: 66.9 meV per atom
* energy above the most stable polymorph in this dataset: 0 meV/atom
* energy: -3.82 eV/atom

abc: 5.245 5.245 4.351
angles: 90.00 90.00 90.00
Fractional coordinates of all 4 atoms:
Sn: 0.000 0.000 0.000
Sb: 0.500 0.500 0.000
Pb: 0.000 0.500 0.500
Pb: 0.500 0.000 0.500


The following is a PBE calculation of a geometry-optimized SnSbPb2 structure, from the Alexandria database.

Computed properties:
* formation energy from raw total energies: 127.4 meV per atom
* energy above the most stable polymorph in this dataset: 60 meV/atom
* energy: -3.76 eV/atom

abc: 8.245 8.245 8.245
angles: 30.72 30.72 30.72
Fractional coordinates of all 4 atoms:
Sn: 0.000 0.000 0.000
Sb: 0.168 0.168 0.168
Pb: 0.582 0.582 0.582
Pb: 0.753 0.753 0.753


The following is a PBE calculation of a geometry-optimized SnSbPb2 structure, from the Alexandria database.

Computed properties:
* formation energy from raw total energies: 156.2 meV per atom
* energy above the most stable polymorph in this dataset: 89 meV/atom
* energy: -3.73 eV/atom

abc: 12.641 12.641 12.641
angles: 15.27 15.27 15.27
Fractional coordinates of all 4 atoms:
Sn: 0.000 0.000 0.000
Sb: 0.500 0.500 0.500
Pb: 0.087 0.087 0.087
Pb: 0.913 0.913 0.913


The following is a PBE calculation of a geometry-optimized Sn3SbPb structure, from the Alexandria database.

Computed properties:
* formation energy from raw total energies: 568.8 meV per atom
* energy above the most stable polymorph in this dataset: 0 meV/atom
* energy: -3.40 eV/atom

abc: 5.732 5.732 5.732
angles: 90.00 90.00 90.00
Fractional coordinates of all 5 atoms:
Sn: 0.000 0.000 0.500
Sn: 0.000 0.500 0.000
Sn: 0.500 0.000 0.000
Sb: 0.000 0.000 0.000
Pb: 0.500 0.500 0.500


The following is a PBE calculation of a geometry-optimized SnSb2Pb2 structure, from the Alexandria database.

Computed properties:
* formation energy from raw total energies: 71.8 meV per atom
* energy above the most stable polymorph in this dataset: 0 meV/atom
* energy: -3.86 eV/atom

abc: 6.622 6.622 6.622
angles: 48.08 48.08 48.08
Fractional coordinates of all 5 atoms:
Sn: 0.000 0.000 0.000
Sb: 0.180 0.180 0.180
Sb: 0.820 0.820 0.820
Pb: 0.389 0.389 0.389
Pb: 0.611 0.611 0.611


The following is a PBE calculation of a geometry-optimized Sn3Sb3Pb structure, from the Alexandria database.

Computed properties:
* formation energy from raw total energies: 377.1 meV per atom
* energy above the most stable polymorph in this dataset: 310 meV/atom
* energy: -3.63 eV/atom

abc: 8.258 8.258 8.258
angles: 90.00 90.00 90.00
Fractional coordinates of all 14 atoms:
Sn: 0.000 0.250 0.500
Sn: 0.000 0.750 0.500
Sn: 0.250 0.500 0.000
Sn: 0.500 0.000 0.250
Sn: 0.500 0.000 0.750
Sn: 0.750 0.500 0.000
Sb: 0.000 0.500 0.250
Sb: 0.000 0.500 0.750
Sb: 0.250 0.000 0.500
Sb: 0.500 0.250 0.000
Sb: 0.500 0.750 0.000
Sb: 0.750 0.000 0.500
Pb: 0.000 0.000 0.000
Pb: 0.500 0.500 0.500


The following is a PBE calculation of a geometry-optimized SnSbPb2 structure, from the Alexandria database.

Computed properties:
* formation energy from raw total energies: 117.8 meV per atom
* energy above the most stable polymorph in this dataset: 51 meV/atom
* energy: -3.77 eV/atom

abc: 4.427 4.427 7.894
angles: 108.03 108.03 62.49
Fractional coordinates of all 4 atoms:
Sn: 0.000 0.000 0.000
Sb: 0.500 0.500 0.500
Pb: 0.250 0.250 0.747
Pb: 0.750 0.750 0.253


The following is a PBE calculation of a geometry-optimized Sn3Sb3Pb structure, from the Alexandria database.

Computed properties:
* formation energy from raw total energies: 67.6 meV per atom
* energy above the most stable polymorph in this dataset: 0 meV/atom
* energy: -3.94 eV/atom

abc: 8.281 8.281 8.281
angles: 68.34 68.34 68.34
Fractional coordinates of all 14 atoms:
Sn: 0.089 0.766 0.406
Sn: 0.234 0.594 0.911
Sn: 0.406 0.089 0.766
Sn: 0.594 0.911 0.234
Sn: 0.766 0.406 0.089
Sn: 0.911 0.234 0.594
Sb: 0.072 0.435 0.738
Sb: 0.262 0.928 0.565
Sb: 0.435 0.738 0.072
Sb: 0.565 0.262 0.928
Sb: 0.738 0.072 0.435
Sb: 0.928 0.565 0.262
Pb: 0.333 0.333 0.333
Pb: 0.667 0.667 0.667


The following is a PBE calculation of a geometry-optimized Sn2SbPb structure, from the Alexandria database.

Computed properties:
* formation energy from raw total energies: 82.9 meV per atom
* energy above the most stable polymorph in this dataset: 7 meV/atom
* energy: -3.88 eV/atom

abc: 8.307 8.307 8.307
angles: 29.63 29.63 29.63
Fractional coordinates of all 4 atoms:
Sn: 0.000 0.000 0.000
Sn: 0.179 0.179 0.179
Sb: 0.589 0.589 0.589
Pb: 0.757 0.757 0.757


The following is a PBE calculation of a geometry-optimized SnSb2Pb8 structure, from the Alexandria database.

Computed properties:
* formation energy from raw total energies: 93.6 meV per atom
* energy above the most stable polymorph in this dataset: 49 meV/atom
* energy: -3.72 eV/atom

abc: 8.928 8.928 5.220
angles: 98.18 98.18 115.16
Fractional coordinates of all 11 atoms:
Sn: 0.000 0.000 0.000
Sb: 0.335 0.665 0.500
Sb: 0.665 0.335 0.500
Pb: 0.076 0.304 0.581
Pb: 0.217 0.783 0.000
Pb: 0.304 0.076 0.581
Pb: 0.363 0.363 0.151
Pb: 0.637 0.637 0.849
Pb: 0.696 0.924 0.419
Pb: 0.783 0.217 0.000
Pb: 0.924 0.696 0.419


The following is a PBE calculation of a geometry-optimized Sn2SbPb structure, from the Alexandria database.

Computed properties:
* formation energy from raw total energies: 77.4 meV per atom
* energy above the most stable polymorph in this dataset: 2 meV/atom
* energy: -3.88 eV/atom

abc: 5.431 5.431 5.431
angles: 60.00 60.00 60.00
Fractional coordinates of all 4 atoms:
Sn: 0.250 0.250 0.250
Sn: 0.750 0.750 0.750
Sb: 0.000 0.000 0.000
Pb: 0.500 0.500 0.500


The following is a PBE calculation of a geometry-optimized SnSb2Pb3 structure, from the Alexandria database.

Computed properties:
* formation energy from raw total energies: 67.7 meV per atom
* energy above the most stable polymorph in this dataset: 10 meV/atom
* energy: -3.83 eV/atom

abc: 8.944 8.944 11.472
angles: 118.53 118.53 30.60
Fractional coordinates of all 12 atoms:
Sn: 0.081 0.081 0.189
Sn: 0.919 0.919 0.811
Sb: 0.122 0.122 0.960
Sb: 0.336 0.336 0.625
Sb: 0.664 0.664 0.375
Sb: 0.878 0.878 0.040
Pb: 0.102 0.102 0.530
Pb: 0.266 0.266 0.853
Pb: 0.457 0.457 0.308
Pb: 0.543 0.543 0.692
Pb: 0.734 0.734 0.147
Pb: 0.898 0.898 0.470


The following is a PBE calculation of a geometry-optimized Sn2SbPb6 structure, from the Alexandria database.

Computed properties:
* formation energy from raw total energies: 88.2 meV per atom
* energy: -3.73 eV/atom

abc: 7.313 7.727 12.468
angles: 90.00 123.65 90.00
Fractional coordinates of all 18 atoms:
Sn: 0.194 0.137 0.219
Sn: 0.194 0.363 0.719
Sn: 0.806 0.637 0.281
Sn: 0.806 0.863 0.781
Sb: 0.500 0.000 0.000
Sb: 0.500 0.500 0.500
Pb: 0.068 0.208 0.923
Pb: 0.068 0.292 0.423
Pb: 0.255 0.643 0.925
Pb: 0.255 0.857 0.425
Pb: 0.350 0.512 0.210
Pb: 0.350 0.988 0.710
Pb: 0.650 0.012 0.290
Pb: 0.650 0.488 0.790
Pb: 0.745 0.143 0.575
Pb: 0.745 0.357 0.075
Pb: 0.932 0.708 0.577
Pb: 0.932 0.792 0.077


The following is a PBE calculation of a geometry-optimized SnSb2Pb3 structure, from the Alexandria database.

Computed properties:
* formation energy from raw total energies: 57.7 meV per atom
* energy above the most stable polymorph in this dataset: 0 meV/atom
* energy: -3.84 eV/atom

abc: 16.282 4.072 10.895
angles: 90.00 90.00 90.00
Fractional coordinates of all 24 atoms:
Sn: 0.154 0.250 0.170
Sn: 0.346 0.750 0.670
Sn: 0.654 0.250 0.330
Sn: 0.846 0.750 0.830
Sb: 0.003 0.750 0.104
Sb: 0.165 0.750 0.395
Sb: 0.335 0.250 0.895
Sb: 0.497 0.250 0.604
Sb: 0.503 0.750 0.396
Sb: 0.665 0.750 0.105
Sb: 0.835 0.250 0.605
Sb: 0.997 0.250 0.896
Pb: 0.002 0.750 0.629
Pb: 0.172 0.750 0.908
Pb: 0.180 0.250 0.635
Pb: 0.320 0.750 0.135
Pb: 0.328 0.250 0.408
Pb: 0.498 0.250 0.129
Pb: 0.502 0.750 0.871
Pb: 0.672 0.750 0.592
Pb: 0.680 0.250 0.865
Pb: 0.820 0.750 0.365
Pb: 0.828 0.250 0.092
Pb: 0.998 0.250 0.371


The following is a PBE calculation of a geometry-optimized SnSb2Pb structure, from the Alexandria database.

Computed properties:
* formation energy from raw total energies: 124.0 meV per atom
* energy above the most stable polymorph in this dataset: 87 meV/atom
* energy: -3.86 eV/atom

abc: 3.835 3.835 7.718
angles: 90.00 90.00 90.00
Fractional coordinates of all 4 atoms:
Sn: 0.000 0.000 0.000
Sb: 0.500 0.500 0.235
Sb: 0.500 0.500 0.765
Pb: 0.000 0.000 0.500


The following is a PBE calculation of a geometry-optimized Sn2Sb3Pb2 structure, from the Alexandria database.

Computed properties:
* formation energy from raw total energies: 60.9 meV per atom
* energy: -3.91 eV/atom

abc: 8.348 8.348 7.519
angles: 107.40 107.40 31.33
Fractional coordinates of all 7 atoms:
Sn: 0.165 0.165 0.338
Sn: 0.835 0.835 0.662
Sb: 0.000 0.000 0.000
Sb: 0.241 0.241 0.772
Sb: 0.759 0.759 0.228
Pb: 0.399 0.399 0.142
Pb: 0.601 0.601 0.858


The following is a PBE calculation of a geometry-optimized SnSb2Pb structure, from the Alexandria database.

Computed properties:
* formation energy from raw total energies: 61.7 meV per atom
* energy above the most stable polymorph in this dataset: 25 meV/atom
* energy: -3.93 eV/atom

abc: 8.218 8.218 8.218
angles: 30.21 30.21 30.21
Fractional coordinates of all 4 atoms:
Sn: 0.000 0.000 0.000
Sb: 0.409 0.409 0.409
Sb: 0.588 0.588 0.588
Pb: 0.832 0.832 0.832


The following is a PBE calculation of a geometry-optimized SnSb2Pb2 structure, from the Alexandria database.

Computed properties:
* formation energy from raw total energies: 193.8 meV per atom
* energy above the most stable polymorph in this dataset: 122 meV/atom
* energy: -3.74 eV/atom

abc: 8.597 8.597 8.597
angles: 149.72 149.72 43.35
Fractional coordinates of all 5 atoms:
Sn: 0.000 0.000 0.000
Sb: 0.408 0.408 0.000
Sb: 0.592 0.592 0.000
Pb: 0.250 0.750 0.500
Pb: 0.750 0.250 0.500


The following is a PBE calculation of a geometry-optimized Sn3SbPb3 structure, from the Alexandria database.

Computed properties:
* formation energy from raw total energies: 546.9 meV per atom
* energy: -3.35 eV/atom

abc: 8.353 8.353 8.353
angles: 90.00 90.00 90.00
Fractional coordinates of all 14 atoms:
Sn: 0.000 0.250 0.500
Sn: 0.000 0.750 0.500
Sn: 0.250 0.500 0.000
Sn: 0.500 0.000 0.250
Sn: 0.500 0.000 0.750
Sn: 0.750 0.500 0.000
Sb: 0.000 0.000 0.000
Sb: 0.500 0.500 0.500
Pb: 0.000 0.500 0.250
Pb: 0.000 0.500 0.750
Pb: 0.250 0.000 0.500
Pb: 0.500 0.250 0.000
Pb: 0.500 0.750 0.000
Pb: 0.750 0.000 0.500


The following is a PBE calculation of a geometry-optimized Sn2SbPb structure, from the Alexandria database.

Computed properties:
* formation energy from raw total energies: 81.2 meV per atom
* energy above the most stable polymorph in this dataset: 5 meV/atom
* energy: -3.88 eV/atom

abc: 6.871 6.871 6.871
angles: 152.60 61.32 126.30
Fractional coordinates of all 4 atoms:
Sn: 0.249 0.000 0.249
Sn: 0.751 0.000 0.751
Sb: 0.632 0.132 0.500
Pb: 0.131 0.631 0.500


The following is a PBE calculation of a geometry-optimized SnSb3Pb3 structure, from the Alexandria database.

Computed properties:
* formation energy from raw total energies: 59.3 meV per atom
* energy: -3.87 eV/atom

abc: 10.502 10.502 13.067
angles: 90.00 90.00 41.66
Fractional coordinates of all 28 atoms:
Sn: 0.099 0.099 0.000
Sn: 0.401 0.401 0.500
Sn: 0.599 0.599 0.500
Sn: 0.901 0.901 0.000
Sb: 0.067 0.607 0.641
Sb: 0.107 0.567 0.141
Sb: 0.193 0.807 0.866
Sb: 0.307 0.693 0.366
Sb: 0.393 0.933 0.641
Sb: 0.433 0.893 0.141
Sb: 0.567 0.107 0.859
Sb: 0.607 0.067 0.359
Sb: 0.693 0.307 0.634
Sb: 0.807 0.193 0.134
Sb: 0.893 0.433 0.859
Sb: 0.933 0.393 0.359
Pb: 0.001 0.362 0.625
Pb: 0.114 0.886 0.632
Pb: 0.138 0.499 0.875
Pb: 0.362 0.001 0.375
Pb: 0.386 0.614 0.132
Pb: 0.499 0.138 0.125
Pb: 0.501 0.862 0.875
Pb: 0.614 0.386 0.868
Pb: 0.638 0.999 0.625
Pb: 0.862 0.501 0.125
Pb: 0.886 0.114 0.368
Pb: 0.999 0.638 0.375


The following is a PBE calculation of a geometry-optimized SnSb3Pb4 structure, from the Alexandria database.

Computed properties:
* formation energy from raw total energies: 57.6 meV per atom
* energy: -3.84 eV/atom

abc: 6.136 6.136 10.507
angles: 107.34 107.34 42.71
Fractional coordinates of all 8 atoms:
Sn: 0.000 0.000 0.000
Sb: 0.322 0.322 0.826
Sb: 0.500 0.500 0.500
Sb: 0.678 0.678 0.174
Pb: 0.155 0.155 0.393
Pb: 0.381 0.381 0.176
Pb: 0.619 0.619 0.824
Pb: 0.845 0.845 0.607